## SrCa2PbBr8 (PBE)

Data for crystalline SrCa2PbBr8 at its relaxed geometry.

POSCAR file:
```
SrCa2PbBr8
1.0
7.118 -0.025 -0.005
0.021 6.820 -0.007
0.005 0.012 9.013
Sr Ca Pb Br
1 2 1 8
Cartesian
0.003 0.006 4.506 Sr
3.574 3.406 6.756 Ca
3.571 3.400 2.244 Ca
0.000 0.000 0.000 Pb
1.220 5.158 2.241 Br
4.679 4.934 -0.008 Br
5.922 1.643 2.242 Br
5.924 1.649 6.760 Br
2.465 1.872 9.009 Br
1.223 5.163 6.759 Br
4.686 4.924 4.498 Br
2.459 1.882 4.503 Br
```

Summary:
Crystal system: monoclinic
Formation energy (no corrections) (meV per atom): -1762
SG: P2/m (10)
Spin magnetization (μB/f.u.): 0.00

---

## TaBiPb3 (PBE)

Data for crystalline TaBiPb3 at its relaxed geometry.

POSCAR file:
```
TaBiPb3
1.0
5.548 0.000 0.000
0.000 5.548 0.000
0.000 0.000 5.548
Pb Bi Ta
3 1 1
Cartesian
0.000 2.774 0.000 Pb
0.000 0.000 2.774 Pb
2.774 0.000 0.000 Pb
2.774 2.774 2.774 Bi
0.000 0.000 0.000 Ta
```

Summary:
Crystal system: cubic
DFT formation energy (eV/atom): 0.64
SG: Pm-3m (221)
Spin magnetization (μB/f.u.): 0.00
Energy above the most stable polymorph in this dataset (meV/atom): 0.0